[1]
Compound: CsFeP2
Source: Alexandria
Functional: GGA-PBEsol
Structure: optimized geometry

```
CsFeP2
1.0
5.872 0.000 0.000
0.000 5.872 0.000
0.000 0.000 11.624
Cs Fe P
4 4 8
direct
0.000 0.250 0.375
0.000 0.750 0.625
0.500 0.250 0.125
0.500 0.750 0.875
0.000 0.250 0.875
0.000 0.750 0.125
0.500 0.250 0.625
0.500 0.750 0.375
0.000 0.000 0.000
0.000 0.500 0.000
0.250 0.250 0.750
0.250 0.750 0.250
0.500 0.000 0.500
0.500 0.500 0.500
0.750 0.250 0.750
0.750 0.750 0.250
```

Output
Polymorph energy (0 for the lowest one) ... 0.000 eV/atom
ΔE_f ... -0.243 eV/atom

---

[2]
Compound: CsFe3Pb
Source: Alexandria
Functional: GGA-PBEsol
Structure: optimized geometry

```
CsFe3Pb
1.0
4.790 0.000 0.000
0.000 4.790 0.000
0.000 0.000 4.790
Cs Fe Pb
1 3 1
direct
0.000 0.000 0.000
0.000 0.000 0.500
0.000 0.500 0.000
0.500 0.000 0.000
0.500 0.500 0.500
```

Output
ΔE_f ... 2.360 eV/atom

---

[3]
Compound: CsFeSbPd2
Source: Alexandria
Functional: GGA-PBEsol
Structure: optimized geometry

```
CsFeSbPd2
1.0
4.821 0.000 0.000
0.000 4.821 0.000
0.000 0.000 5.088
Cs Fe Sb Pd
1 1 1 2
direct
0.000 0.000 0.000
0.000 0.000 0.500
0.500 0.500 0.000
0.000 0.500 0.500
0.500 0.000 0.500
```

Output
E_form (uncorrected) ... 499 kJ/mol of formula units

---

[4]
Compound: CsFeRe3
Source: Alexandria
Functional: GGA-PBEsol
Structure: optimized geometry

```
CsFeRe3
1.0
4.589 0.000 0.000
0.000 4.589 0.000
0.000 0.000 4.589
Cs Fe Re
1 1 3
direct
0.000 0.000 0.000
0.500 0.500 0.500
0.000 0.500 0.500
0.500 0.000 0.500
0.500 0.500 0.000
```

Output
ΔE_f ... 2.250 eV/atom

---

[5]
Compound: CsZrFe2Rh
Source: Alexandria
Functional: GGA-PBEsol
Structure: optimized geometry

```
CsZrFe2Rh
1.0
4.704 0.000 0.000
0.000 4.704 0.000
0.000 0.000 5.157
Cs Zr Fe Rh
1 1 2 1
direct
0.000 0.000 0.000
0.500 0.500 0.000
0.000 0.500 0.500
0.500 0.000 0.500
0.000 0.000 0.500
```

Output
ΔE_f ... 1.641 eV/atom

---

[6]
Compound: Cs3FeS3
Source: Alexandria
Functional: GGA-PBEsol
Structure: optimized geometry

```
Cs3FeS3
1.0
9.424 -3.678 0.000
9.424 3.678 0.000
0.000 0.000 13.104
Cs Fe S
12 4 12
direct
0.017 0.337 0.877
0.115 0.885 0.811
0.163 0.483 0.623
0.337 0.017 0.123
0.385 0.615 0.311
0.483 0.163 0.377
0.517 0.837 0.623
0.615 0.385 0.689
0.663 0.983 0.877
0.837 0.517 0.377
0.885 0.115 0.189
0.983 0.663 0.123
0.073 0.073 0.500
0.427 0.427 0.000
0.573 0.573 0.000
0.927 0.927 0.500
0.014 0.266 0.620
0.216 0.784 0.557
0.234 0.486 0.880
0.266 0.014 0.380
0.284 0.716 0.057
0.486 0.234 0.120
0.514 0.766 0.880
0.716 0.284 0.943
0.734 0.986 0.620
0.766 0.514 0.120
0.784 0.216 0.443
0.986 0.734 0.380
```

Output
E_form (uncorrected) ... -628 kJ/mol of formula units

---

[7]
Compound: CsFeS2
Source: Alexandria
Functional: GGA-PBEsol
Structure: optimized geometry

```
CsFeS2
1.0
5.089 0.000 0.000
0.000 6.897 0.000
0.000 0.000 11.792
Cs Fe S
4 4 8
direct
0.000 0.000 0.169
0.000 0.000 0.831
0.500 0.500 0.331
0.500 0.500 0.669
0.249 0.000 0.500
0.251 0.500 0.000
0.749 0.500 0.000
0.751 0.000 0.500
0.000 0.245 0.500
0.000 0.500 0.143
0.000 0.500 0.857
0.000 0.755 0.500
0.500 0.000 0.357
0.500 0.000 0.643
0.500 0.255 0.000
0.500 0.745 0.000
```

Output
E_form (uncorrected) ... -316 kJ/mol of formula units

---

[8]
Compound: CsFeSb2Te
Source: Alexandria
Functional: GGA-PBEsol
Structure: optimized geometry

```
CsFeSb2Te
1.0
5.108 0.000 0.000
0.000 5.108 0.000
0.000 0.000 5.514
Cs Fe Sb Te
1 1 2 1
direct
0.000 0.000 0.000
0.500 0.500 0.500
0.000 0.500 0.500
0.500 0.000 0.500
0.500 0.500 0.000
```

Output
E_form (uncorrected) ... 34 kJ/mol of formula units

---

Number 1: total DFT energy (no corrections) -5.62 eV per atom, V 25.05 A^3/atom. Number 2: total DFT energy (no corrections) -4.01 eV per atom, V 21.99 A^3/atom. Number 3: total DFT energy (no corrections) -4.24 eV per atom, V 23.65 A^3/atom. Number 4: total DFT energy (no corrections) -7.73 eV per atom, V 19.32 A^3/atom. Number 5: total DFT energy (no corrections) -5.58 eV per atom, V 22.83 A^3/atom. Number 6: total DFT energy (no corrections) -4.49 eV per atom, V 32.44 A^3/atom. Number 7: total DFT energy (no corrections) -5.49 eV per atom, V 25.87 A^3/atom. Number 8: total DFT energy (no corrections) -4.44 eV per atom, V 28.78 A^3/atom.